1.
First-principles (PBE-GGA) data for a relaxed structure of Ba3Hg3Ge2, as listed in Alexandria via LeMat-Bulk.

Summary:
As for the density of states at the Fermi level: 8.1 states/eV/cell. As for the total energy: -39.6 eV per cell. The magnetization is 0.000 μB/atom. The value obtained for the formation enthalpy at 0 K is -0.4844 eV/atom.

```
Ba3Hg3Ge2
1.0
4.7097 0.0000 0.0000
-2.3548 6.3263 0.0000
0.0000 0.0000 18.1806
Hg Ge Ba
6 4 6
Direct
0.3120 0.6240 0.2500
0.4155 0.8310 0.5577
0.5845 0.1690 0.0577
0.5845 0.1690 0.4423
0.6880 0.3760 0.7500
0.4155 0.8310 0.9423
0.1606 0.3213 0.3859
0.8394 0.6787 0.8859
0.1606 0.3213 0.1141
0.8394 0.6787 0.6141
0.4077 0.8155 0.7500
0.8655 0.7309 0.4124
0.8655 0.7309 0.0876
0.5923 0.1845 0.2500
0.1345 0.2691 0.5876
0.1345 0.2691 0.9124
```



2.
First-principles (PBE-GGA) data for a relaxed structure of BaHg2Ge2, as listed in Alexandria via LeMat-Bulk.

Summary:
As for the density of states at the Fermi level: 6.4 states/eV/cell. As for the total energy: -23.8 eV per cell. The magnetization is 0.000 μB/atom. The value obtained for the formation enthalpy at 0 K is -0.0268 eV/atom.

```
BaHg2Ge2
1.0
-3.8538 0.1432 -7.6678
-7.5707 -1.4420 3.7781
-0.5115 3.5316 0.3230
Ge Hg Ba
4 4 2
Direct
0.8246 0.3246 0.5000
0.3246 0.1754 0.5000
0.1754 0.6754 0.5000
0.6754 0.8246 0.5000
0.1231 0.3769 0.0000
0.6231 0.1231 0.0000
0.8769 0.6231 0.0000
0.3769 0.8769 0.0000
0.5000 0.5000 0.0000
0.0000 0.0000 0.0000
```



3.
First-principles (PBE-GGA) data for a relaxed structure of BaHgGe2, as listed in Alexandria via LeMat-Bulk.

Summary:
As for the density of states at the Fermi level: 4.3 states/eV/cell. As for the total energy: -51.9 eV per cell. The magnetization is 0.000 μB/atom. The value obtained for the formation enthalpy at 0 K is -0.3812 eV/atom.

```
BaHgGe2
1.0
-4.6267 -0.1578 -1.8804
2.5619 -3.7173 -5.9915
-1.9165 -10.3158 5.5808
Ge Ba Hg
8 4 4
Direct
0.7500 0.3203 0.6487
0.2500 0.6797 0.3513
0.7500 0.8203 0.8513
0.2500 0.0212 0.3371
0.2500 0.1797 0.1487
0.7500 0.4788 0.8371
0.7500 0.9788 0.6629
0.2500 0.5212 0.1629
0.7500 0.8491 0.1447
0.2500 0.1509 0.8553
0.2500 0.6509 0.6447
0.7500 0.3491 0.3553
0.7500 0.8219 0.4485
0.2500 0.6781 0.9485
0.7500 0.3219 0.0515
0.2500 0.1781 0.5515
```



What did the third record say?
First-principles (PBE-GGA) data for a relaxed structure of BaHgGe2, as listed in Alexandria via LeMat-Bulk.

Summary:
As for the density of states at the Fermi level: 4.3 states/eV/cell. As for the total energy: -51.9 eV per cell. The magnetization is 0.000 μB/atom. The value obtained for the formation enthalpy at 0 K is -0.3812 eV/atom.

```
BaHgGe2
1.0
-4.6267 -0.1578 -1.8804
2.5619 -3.7173 -5.9915
-1.9165 -10.3158 5.5808
Ge Ba Hg
8 4 4
Direct
0.7500 0.3203 0.6487
0.2500 0.6797 0.3513
0.7500 0.8203 0.8513
0.2500 0.0212 0.3371
0.2500 0.1797 0.1487
0.7500 0.4788 0.8371
0.7500 0.9788 0.6629
0.2500 0.5212 0.1629
0.7500 0.8491 0.1447
0.2500 0.1509 0.8553
0.2500 0.6509 0.6447
0.7500 0.3491 0.3553
0.7500 0.8219 0.4485
0.2500 0.6781 0.9485
0.7500 0.3219 0.0515
0.2500 0.1781 0.5515
```



What is the formation enthalpy at 0 K in the third record?
-0.3812 eV/atom